1.
The following is a PBE+U calculation of crystalline NaScCr2O8 at its relaxed geometry, from Alexandria via LeMat-Bulk.

```
NaScCr2O8
1.0
-0.063 -4.818 -3.310
4.241 3.905 -0.968
0.820 -1.875 5.476
Cr O Na Sc
2 8 1 1
Cartesian
2.089 -0.456 -2.139
1.422 -3.574 0.013
0.912 -4.728 1.107
1.099 -4.112 -1.534
1.258 -2.532 3.291
3.517 -1.295 2.187
2.968 -1.817 -2.513
0.618 -2.133 0.267
3.061 -3.324 0.214
2.251 0.070 -0.570
3.575 0.787 1.184
0.000 0.000 0.000
```

Summary:
- crystal system = tetragonal
- size of the total moment (Bohr magnetons per cell) = 0.0
- DOS at the Fermi energy (states/eV/atom) = 0.000

2.
The following is a PBE+U calculation of crystalline BaMo2OsF at its relaxed geometry, from Alexandria via LeMat-Bulk.

```
BaMo2OsF
1.0
-1.976 3.984 1.572
-3.204 0.165 -4.448
-3.278 -2.521 2.268
Mo F Ba Os
2 1 1 1
Cartesian
-1.639 -1.261 1.134
-0.988 1.992 0.786
0.000 0.000 0.000
-4.229 0.814 -0.304
-1.602 0.083 -2.224
```

Summary:
- crystal system = tetragonal
- size of the total moment (Bohr magnetons per cell) = 10.6
- DOS at the Fermi energy (states/eV/atom) = 1.069

| no. | final energy (eV per atom) |
| --- | --- |
| 1 | -6.95 |
| 2 | -4.68 |